Entry from the Alexandria database: a relaxed Nb3H12Pd5 crystal (PBE).

Summary:
Its space-group type is Ia-3d. The value obtained for the total DFT energy (no corrections) is -388.88 eV per cell. For the density of states at the Fermi level, the calculation gives 38.26 states/eV per cell.

abc: 9.6663 9.6663 9.6663
angles: 109.47 109.47 109.47
Last column: nearest neighbours and their distance in Å.
Positions (direct):
1 Nb 0.1250 0.2500 0.3750  8 H 2.02-2.04
2 Nb 0.1250 0.3750 0.7500  8 H 2.02-2.04
3 Nb 0.2500 0.3750 0.1250  8 H 2.02-2.04
4 Nb 0.2500 0.8750 0.6250  8 H 2.02-2.04
5 Nb 0.3750 0.1250 0.2500  8 H 2.02-2.04
6 Nb 0.3750 0.7500 0.1250  8 H 2.02-2.04
7 Nb 0.6250 0.2500 0.8750  8 H 2.02-2.04
8 Nb 0.6250 0.8750 0.7500  8 H 2.02-2.04
9 Nb 0.7500 0.1250 0.3750  8 H 2.02-2.04
10 Nb 0.7500 0.6250 0.8750  8 H 2.02-2.04
11 Nb 0.8750 0.6250 0.2500  8 H 2.02-2.04
12 Nb 0.8750 0.7500 0.6250  8 H 2.02-2.04
13 H 0.0573 0.2255 0.1426  2 Pd 1.82-1.91, 1 Nb 2.02
14 H 0.0573 0.3318 0.9146  2 Pd 1.82-1.91, 1 Nb 2.02
15 H 0.0829 0.7255 0.6682  2 Pd 1.82-1.91, 1 Nb 2.02
16 H 0.0829 0.8574 0.4146  2 Pd 1.82-1.91, 1 Nb 2.02
17 H 0.0854 0.6426 0.4171  2 Pd 1.82-1.91, 1 Nb 2.02
18 H 0.0854 0.9427 0.6682  2 Pd 1.82-1.91, 1 Nb 2.02
19 H 0.1426 0.0573 0.2255  2 Pd 1.82-1.91, 1 Nb 2.02
20 H 0.1426 0.5854 0.9171  2 Pd 1.82-1.91, 1 Nb 2.02
21 H 0.1682 0.2255 0.5829  2 Pd 1.82-1.91, 1 Nb 2.02
22 H 0.1682 0.4427 0.5854  2 Pd 1.82-1.91, 1 Nb 2.02
23 H 0.2255 0.1426 0.0573  2 Pd 1.82-1.91, 1 Nb 2.02
24 H 0.2255 0.5829 0.1682  2 Pd 1.82-1.91, 1 Nb 2.02
25 H 0.2745 0.3318 0.9171  2 Pd 1.82-1.91, 1 Nb 2.02
26 H 0.2745 0.4427 0.3574  2 Pd 1.82-1.91, 1 Nb 2.02
27 H 0.3318 0.9146 0.0573  2 Pd 1.82-1.91, 1 Nb 2.02
28 H 0.3318 0.9171 0.2745  2 Pd 1.82-1.91, 1 Nb 2.02
29 H 0.3574 0.2745 0.4427  2 Pd 1.82-1.91, 1 Nb 2.02
30 H 0.3574 0.5829 0.9146  2 Pd 1.82-1.91, 1 Nb 2.02
31 H 0.4146 0.0829 0.8574  2 Pd 1.82-1.91, 1 Nb 2.02
32 H 0.4146 0.8318 0.5573  2 Pd 1.82-1.91, 1 Nb 2.02
33 H 0.4171 0.0854 0.6426  2 Pd 1.82-1.91, 1 Nb 2.02
34 H 0.4171 0.8318 0.7745  2 Pd 1.82-1.91, 1 Nb 2.02
35 H 0.4427 0.3574 0.2745  2 Pd 1.82-1.91, 1 Nb 2.02
36 H 0.4427 0.5854 0.1682  2 Pd 1.82-1.91, 1 Nb 2.02
37 H 0.5573 0.4146 0.8318  2 Pd 1.82-1.91, 1 Nb 2.02
38 H 0.5573 0.6426 0.7255  2 Pd 1.82-1.91, 1 Nb 2.02
39 H 0.5829 0.1682 0.2255  2 Pd 1.82-1.91, 1 Nb 2.02
40 H 0.5829 0.9146 0.3574  2 Pd 1.82-1.91, 1 Nb 2.02
41 H 0.5854 0.1682 0.4427  2 Pd 1.82-1.91, 1 Nb 2.02
42 H 0.5854 0.9171 0.1426  2 Pd 1.82-1.91, 1 Nb 2.02
43 H 0.6426 0.4171 0.0854  2 Pd 1.82-1.91, 1 Nb 2.02
44 H 0.6426 0.7255 0.5573  2 Pd 1.82-1.91, 1 Nb 2.02
45 H 0.6682 0.0829 0.7255  2 Pd 1.82-1.91, 1 Nb 2.02
46 H 0.6682 0.0854 0.9427  2 Pd 1.82-1.91, 1 Nb 2.02
47 H 0.7255 0.5573 0.6426  2 Pd 1.82-1.91, 1 Nb 2.02
48 H 0.7255 0.6682 0.0829  2 Pd 1.82-1.91, 1 Nb 2.02
49 H 0.7745 0.4171 0.8318  2 Pd 1.82-1.91, 1 Nb 2.02
50 H 0.7745 0.8574 0.9427  2 Pd 1.82-1.91, 1 Nb 2.02
51 H 0.8318 0.5573 0.4146  2 Pd 1.82-1.91, 1 Nb 2.02
52 H 0.8318 0.7745 0.4171  2 Pd 1.82-1.91, 1 Nb 2.02
53 H 0.8574 0.4146 0.0829  2 Pd 1.82-1.91, 1 Nb 2.02
54 H 0.8574 0.9427 0.7745  2 Pd 1.82-1.91, 1 Nb 2.02
55 H 0.9146 0.0573 0.3318  2 Pd 1.82-1.91, 1 Nb 2.02
56 H 0.9146 0.3574 0.5829  2 Pd 1.82-1.91, 1 Nb 2.02
57 H 0.9171 0.1426 0.5854  2 Pd 1.82-1.91, 1 Nb 2.02
58 H 0.9171 0.2745 0.3318  2 Pd 1.82-1.91, 1 Nb 2.02
59 H 0.9427 0.6682 0.0854  2 Pd 1.82-1.91, 1 Nb 2.02
60 H 0.9427 0.7745 0.8574  2 Pd 1.82-1.91, 1 Nb 2.02
61 Pd 0.0000 0.0000 0.0000  6 H 1.91
62 Pd 0.0000 0.0000 0.5000  6 H 1.91
63 Pd 0.0000 0.5000 0.0000  6 H 1.91
64 Pd 0.0000 0.5000 0.5000  6 H 1.91
65 Pd 0.1250 0.7500 0.8750  4 H 1.82
66 Pd 0.1250 0.8750 0.2500  4 H 1.82
67 Pd 0.2500 0.1250 0.8750  4 H 1.82
68 Pd 0.2500 0.6250 0.3750  4 H 1.82
69 Pd 0.3750 0.2500 0.6250  4 H 1.82
70 Pd 0.3750 0.6250 0.7500  4 H 1.82
71 Pd 0.5000 0.0000 0.0000  6 H 1.91
72 Pd 0.5000 0.0000 0.5000  6 H 1.91
73 Pd 0.5000 0.5000 0.0000  6 H 1.91
74 Pd 0.5000 0.5000 0.5000  6 H 1.91
75 Pd 0.6250 0.3750 0.2500  4 H 1.82
76 Pd 0.6250 0.7500 0.3750  4 H 1.82
77 Pd 0.7500 0.3750 0.6250  4 H 1.82
78 Pd 0.7500 0.8750 0.1250  4 H 1.82
79 Pd 0.8750 0.1250 0.7500  4 H 1.82
80 Pd 0.8750 0.2500 0.1250  4 H 1.82


Entry from the Alexandria database: a relaxed Nb3HPd crystal (PBE).

Summary:
Its space-group type is Cmmm. The value obtained for the total DFT energy (no corrections) is -78.72 eV per cell. The calculation puts the energy above the most stable polymorph in this dataset at 0.0000 eV per atom. For the density of states at the Fermi level, the calculation gives 7.36 states/eV per cell.

abc: 4.8469 4.8469 6.2706
angles: 90.00 90.00 94.28
Last column: nearest neighbours and their distance in Å.
Positions (direct):
1 Nb 0.2215 0.7785 0.2396  1 H 1.91
2 Nb 0.2215 0.7785 0.7604  1 H 1.91
3 Nb 0.2468 0.2468 0.5000  2 H 1.94
4 Nb 0.7532 0.7532 0.5000  2 H 1.94
5 Nb 0.7785 0.2215 0.2396  1 H 1.91
6 Nb 0.7785 0.2215 0.7604  1 H 1.91
7 H 0.3610 0.6390 0.5000  4 Nb 1.91-1.94, 1 H 1.98
8 H 0.6390 0.3610 0.5000  4 Nb 1.91-1.94, 1 H 1.98
9 Pd 0.2872 0.2872 0.0000  1 Pd 2.81, 8 Nb 2.85-2.88
10 Pd 0.7128 0.7128 0.0000  1 Pd 2.81, 8 Nb 2.85-2.88


Entry from the Alexandria database: a relaxed NbHPd2Rh crystal (PBE).

Summary:
Its space-group type is P4/mmm. The value obtained for the total DFT energy (no corrections) is -32.26 eV per cell. The calculation puts the energy above the most stable polymorph in this dataset at 0.0000 eV per atom. For the density of states at the Fermi level, the calculation gives 3.40 states/eV per cell.

abc: 3.8951 3.8951 4.2640
angles: 90.00 90.00 90.00
Last column: nearest neighbours and their distance in Å.
Positions (direct):
1 Nb 0.0000 0.0000 0.0000  2 H 2.13
2 H 0.0000 0.0000 0.5000  4 Pd 1.95, 2 Nb 2.13
3 Pd 0.0000 0.5000 0.5000  2 H 1.95
4 Pd 0.5000 0.0000 0.5000  2 H 1.95
5 Rh 0.5000 0.5000 0.0000  4 Nb 2.75, 8 Pd 2.89


Entry from the Alexandria database: a relaxed NbHPd2Rh crystal (PBE).

Summary:
Its space-group type is P4/mmm. The value obtained for the total DFT energy (no corrections) is -32.21 eV per cell. The calculation puts the energy above the most stable polymorph in this dataset at 0.0101 eV per atom. For the density of states at the Fermi level, the calculation gives 3.99 states/eV per cell.

abc: 3.9406 3.9406 4.1583
angles: 90.00 90.00 90.00
Last column: nearest neighbours and their distance in Å.
Positions (direct):
1 Nb 0.0000 0.0000 0.0000  4 Rh 2.79, 8 Pd 2.86
2 H 0.5000 0.5000 0.5000  4 Pd 1.97, 2 Rh 2.08
3 Pd 0.0000 0.5000 0.5000  2 H 1.97
4 Pd 0.5000 0.0000 0.5000  2 H 1.97
5 Rh 0.5000 0.5000 0.0000  2 H 2.08


Entry from the Alexandria database: a relaxed NbHPd2Ru crystal (PBE).

Summary:
Its space-group type is P4/mmm. The value obtained for the total DFT energy (no corrections) is -33.76 eV per cell. The calculation puts the energy above the most stable polymorph in this dataset at 0.0628 eV per atom. For the density of states at the Fermi level, the calculation gives 3.12 states/eV per cell.

abc: 3.8571 3.8571 4.3203
angles: 90.00 90.00 90.00
Last column: nearest neighbours and their distance in Å.
Positions (direct):
1 Nb 0.0000 0.0000 0.0000  2 H 2.16
2 H 0.0000 0.0000 0.5000  4 Pd 1.93
3 Pd 0.0000 0.5000 0.5000  2 H 1.93
4 Pd 0.5000 0.0000 0.5000  2 H 1.93
5 Ru 0.5000 0.5000 0.0000  4 Nb 2.73, 8 Pd 2.90


Entry from the Alexandria database: a relaxed NbHPd2Ru crystal (PBE).

Summary:
Its space-group type is P4/mmm. The value obtained for the total DFT energy (no corrections) is -34.07 eV per cell. The calculation puts the energy above the most stable polymorph in this dataset at 0.0000 eV per atom. For the density of states at the Fermi level, the calculation gives 1.49 states/eV per cell.

abc: 3.9056 3.9056 4.1873
angles: 90.00 90.00 90.00
Last column: nearest neighbours and their distance in Å.
Positions (direct):
1 Nb 0.0000 0.0000 0.0000  4 Ru 2.76, 8 Pd 2.86
2 H 0.5000 0.5000 0.5000  4 Pd 1.95, 2 Ru 2.09
3 Pd 0.0000 0.5000 0.5000  2 H 1.95
4 Pd 0.5000 0.0000 0.5000  2 H 1.95
5 Ru 0.5000 0.5000 0.0000  2 H 2.09